w.
The following is a DFT calculation (PBE) of a relaxed structure of RbTiNi2.

Unit cell a=4.6883 b=4.6883 c=4.6883 alpha=60.00 beta=60.00 gamma=60.00
Element x y z (fractional)
Rb (0.0000, 0.0000, 0.0000)
Ti (0.5000, 0.5000, 0.5000)
Ni (0.2500, 0.2500, 0.2500)
Ni (0.7500, 0.7500, 0.7500)

## Properties
total magnetic moment: 0.00 μB per formula unit
N(E_F): 4.37 states/eV/f.u.

x.
The following is a DFT calculation (PBE) of a relaxed structure of RbTiNi2.

Unit cell a=6.2411 b=6.2411 c=6.2411 alpha=108.46 beta=108.46 gamma=111.51
Element x y z (fractional)
Rb (0.0000, 0.0000, 0.0000)
Rb (0.7500, 0.2500, 0.5000)
Ti (0.2500, 0.7500, 0.5000)
Ti (0.5000, 0.5000, 0.0000)
Ni (0.2126, 0.6250, 0.0876)
Ni (0.3750, 0.4626, 0.5876)
Ni (0.5374, 0.1250, 0.9124)
Ni (0.8750, 0.7874, 0.4124)

## Properties
total magnetic moment: 0.00 μB per formula unit
N(E_F): 5.06 states/eV/f.u.

Preferred: x; penalty for the next structure: 164 meV/atom.

w.
The following is a DFT calculation (PBE) of a relaxed structure of Rb2TiNi.

Unit cell a=6.0199 b=6.0199 c=6.0199 alpha=60.00 beta=60.00 gamma=60.00
Element x y z (fractional)
Rb (0.2500, 0.2500, 0.2500)
Rb (0.7500, 0.7500, 0.7500)
Ti (0.0000, 0.0000, 0.0000)
Ni (0.5000, 0.5000, 0.5000)

## Properties
total magnetic moment: 3.47 μB per formula unit
N(E_F): 7.07 states/eV/f.u.

x.
The following is a DFT calculation (PBE) of a relaxed structure of Rb2TiNi.

Unit cell a=9.6048 b=9.6048 c=9.6048 alpha=93.25 beta=93.25 gamma=152.44
Element x y z (fractional)
Rb (0.3750, 0.2014, 0.3264)
Rb (0.7986, 0.1250, 0.1736)
Rb (0.8750, 0.0486, 0.6736)
Rb (0.9514, 0.6250, 0.8264)
Ti (0.2500, 0.7500, 0.5000)
Ti (0.5000, 0.5000, 0.0000)
Ni (0.0000, 0.0000, 0.0000)
Ni (0.7500, 0.2500, 0.5000)

## Properties
total magnetic moment: 2.12 μB per formula unit
N(E_F): 4.02 states/eV/f.u.

Preferred: x; penalty for the next structure: 607 meV/atom.

w.
The following is a DFT calculation (PBE) of a relaxed structure of Rb2TlNi.

Unit cell a=9.2997 b=9.2997 c=9.2997 alpha=94.13 beta=94.13 gamma=148.87
Element x y z (fractional)
Rb (0.3750, 0.2008, 0.3258)
Rb (0.7992, 0.1250, 0.1742)
Rb (0.8750, 0.0492, 0.6742)
Rb (0.9508, 0.6250, 0.8258)
Tl (0.2500, 0.7500, 0.5000)
Tl (0.5000, 0.5000, 0.0000)
Ni (0.0000, 0.0000, 0.0000)
Ni (0.7500, 0.2500, 0.5000)

## Properties
total magnetic moment: 0.00 μB per formula unit
N(E_F): 2.35 states/eV/f.u.

x.
The following is a DFT calculation (PBE) of a relaxed structure of Rb2TlNi.

Unit cell a=5.9752 b=5.9752 c=5.9752 alpha=60.00 beta=60.00 gamma=60.00
Element x y z (fractional)
Rb (0.2500, 0.2500, 0.2500)
Rb (0.7500, 0.7500, 0.7500)
Tl (0.0000, 0.0000, 0.0000)
Ni (0.5000, 0.5000, 0.5000)

## Properties
total magnetic moment: 0.00 μB per formula unit
N(E_F): 4.39 states/eV/f.u.

Preferred: w; penalty for the next structure: 370 meV/atom.

w.
The following is a DFT calculation (PBE) of a relaxed structure of RbTl3Ni.

Unit cell a=6.3511 b=6.3511 c=6.3511 alpha=90.00 beta=90.00 gamma=90.00
Element x y z (fractional)
Rb (0.0000, 0.0000, 0.0000)
Tl (0.0000, 0.0000, 0.5000)
Tl (0.0000, 0.5000, 0.0000)
Tl (0.5000, 0.0000, 0.0000)
Ni (0.5000, 0.5000, 0.5000)

## Properties
total magnetic moment: 0.00 μB per formula unit
N(E_F): 10.75 states/eV/f.u.

x.
The following is a DFT calculation (PBE) of a relaxed structure of RbTl3Ni.

Unit cell a=5.3138 b=5.3138 c=5.3138 alpha=90.00 beta=90.00 gamma=90.00
Element x y z (fractional)
Rb (0.0000, 0.0000, 0.0000)
Tl (0.0000, 0.5000, 0.5000)
Tl (0.5000, 0.0000, 0.5000)
Tl (0.5000, 0.5000, 0.0000)
Ni (0.5000, 0.5000, 0.5000)

## Properties
total magnetic moment: 0.00 μB per formula unit
N(E_F): 3.68 states/eV/f.u.

Preferred: x; penalty for the next structure: 1349 meV/atom.

w.
The following is a DFT calculation (PBE) of a relaxed structure of RbTlNi2.

Unit cell a=4.9072 b=4.9072 c=4.9072 alpha=60.00 beta=60.00 gamma=60.00
Element x y z (fractional)
Rb (0.0000, 0.0000, 0.0000)
Tl (0.5000, 0.5000, 0.5000)
Ni (0.2500, 0.2500, 0.2500)
Ni (0.7500, 0.7500, 0.7500)

## Properties
total magnetic moment: 0.00 μB per formula unit
N(E_F): 3.78 states/eV/f.u.

x.
The following is a DFT calculation (PBE) of a relaxed structure of RbTlNi2.

Unit cell a=9.6173 b=9.6173 c=9.6173 alpha=149.82 beta=149.82 gamma=43.20
Element x y z (fractional)
Rb (0.3750, 0.6250, 0.7500)
Rb (0.6250, 0.3750, 0.2500)
Tl (0.1250, 0.8750, 0.2500)
Tl (0.8750, 0.1250, 0.7500)
Ni (0.0000, 0.0000, 0.0000)
Ni (0.0000, 0.0000, 0.5000)
Ni (0.0000, 0.5000, 0.0000)
Ni (0.5000, 0.0000, 0.5000)

## Properties
total magnetic moment: 0.47 μB per formula unit
N(E_F): 4.77 states/eV/f.u.

Preferred: x; penalty for the next structure: 343 meV/atom.

w.
The following is a DFT calculation (PBE) of a relaxed structure of Rb2VNi.

Unit cell a=9.4420 b=9.4420 c=9.4420 alpha=93.37 beta=93.37 gamma=151.96
Element x y z (fractional)
Rb (0.3750, 0.1925, 0.3175)
Rb (0.8075, 0.1250, 0.1825)
Rb (0.8750, 0.0575, 0.6825)
Rb (0.9425, 0.6250, 0.8175)
V (0.2500, 0.7500, 0.5000)
V (0.5000, 0.5000, 0.0000)
Ni (0.0000, 0.0000, 0.0000)
Ni (0.7500, 0.2500, 0.5000)

## Properties
total magnetic moment: 3.87 μB per formula unit
N(E_F): 7.82 states/eV/f.u.

x.
The following is a DFT calculation (PBE) of a relaxed structure of Rb2VNi.

Unit cell a=5.8543 b=5.8543 c=5.8543 alpha=60.00 beta=60.00 gamma=60.00
Element x y z (fractional)
Rb (0.2500, 0.2500, 0.2500)
Rb (0.7500, 0.7500, 0.7500)
V (0.0000, 0.0000, 0.0000)
Ni (0.5000, 0.5000, 0.5000)

## Properties
total magnetic moment: 4.13 μB per formula unit
N(E_F): 10.98 states/eV/f.u.

Preferred: w; penalty for the next structure: 519 meV/atom.

w.
The following is a DFT calculation (PBE) of a relaxed structure of RbV2Ni.

Unit cell a=4.4951 b=4.4951 c=4.4951 alpha=60.00 beta=60.00 gamma=60.00
Element x y z (fractional)
Rb (0.0000, 0.0000, 0.0000)
V (0.2500, 0.2500, 0.2500)
V (0.7500, 0.7500, 0.7500)
Ni (0.5000, 0.5000, 0.5000)

## Properties
total magnetic moment: 0.00 μB per formula unit
N(E_F): 3.95 states/eV/f.u.

x.
The following is a DFT calculation (PBE) of a relaxed structure of RbV2Ni.

Unit cell a=8.4936 b=8.4936 c=8.4936 alpha=140.60 beta=140.60 gamma=56.94
Element x y z (fractional)
Rb (0.3750, 0.6250, 0.7500)
Rb (0.6250, 0.3750, 0.2500)
V (0.0000, 0.0000, 0.0000)
V (0.0000, 0.0000, 0.5000)
V (0.0000, 0.5000, 0.0000)
V (0.5000, 0.0000, 0.5000)
Ni (0.1250, 0.8750, 0.2500)
Ni (0.8750, 0.1250, 0.7500)

## Properties
total magnetic moment: 6.43 μB per formula unit
N(E_F): 6.29 states/eV/f.u.

Preferred: x; penalty for the next structure: 256 meV/atom.

w.
The following is a DFT calculation (PBE) of a relaxed structure of RbVNi3.

Unit cell a=4.6064 b=4.6064 c=4.6064 alpha=90.00 beta=90.00 gamma=90.00
Element x y z (fractional)
Rb (0.0000, 0.0000, 0.0000)
V (0.5000, 0.5000, 0.5000)
Ni (0.0000, 0.0000, 0.5000)
Ni (0.0000, 0.5000, 0.0000)
Ni (0.5000, 0.0000, 0.0000)

## Properties
total magnetic moment: 3.95 μB per formula unit
N(E_F): 8.08 states/eV/f.u.

x.
The following is a DFT calculation (PBE) of a relaxed structure of RbVNi3.

Unit cell a=4.6050 b=4.6050 c=4.6050 alpha=90.00 beta=90.00 gamma=90.00
Element x y z (fractional)
Rb (0.0000, 0.0000, 0.0000)
V (0.5000, 0.5000, 0.5000)
Ni (0.0000, 0.5000, 0.5000)
Ni (0.5000, 0.0000, 0.5000)
Ni (0.5000, 0.5000, 0.0000)

## Properties
total magnetic moment: 1.28 μB per formula unit
N(E_F): 6.15 states/eV/f.u.

Preferred: x; penalty for the next structure: 1299 meV/atom.

w.
The following is a DFT calculation (PBE) of a relaxed structure of Rb2NiW.

Unit cell a=9.4099 b=9.4099 c=9.4099 alpha=93.45 beta=93.45 gamma=151.61
Element x y z (fractional)
Rb (0.3750, 0.0613, 0.1863)
Rb (0.8113, 0.6250, 0.6863)
Rb (0.8750, 0.1887, 0.8137)
Rb (0.9387, 0.1250, 0.3137)
Ni (0.0000, 0.0000, 0.0000)
Ni (0.7500, 0.2500, 0.5000)
W (0.2500, 0.7500, 0.5000)
W (0.5000, 0.5000, 0.0000)

## Properties
total magnetic moment: 3.65 μB per formula unit
N(E_F): 4.07 states/eV/f.u.

x.
The following is a DFT calculation (PBE) of a relaxed structure of Rb2NiW.

Unit cell a=5.9137 b=5.9137 c=5.9137 alpha=60.00 beta=60.00 gamma=60.00
Element x y z (fractional)
Rb (0.2500, 0.2500, 0.2500)
Rb (0.7500, 0.7500, 0.7500)
Ni (0.0000, 0.0000, 0.0000)
W (0.5000, 0.5000, 0.5000)

## Properties
total magnetic moment: 5.91 μB per formula unit
N(E_F): 4.33 states/eV/f.u.

Preferred: w; penalty for the next structure: 643 meV/atom.

w.
The following is a DFT calculation (PBE) of a relaxed structure of RbNi3W.

Unit cell a=4.5243 b=4.5243 c=4.5243 alpha=90.00 beta=90.00 gamma=90.00
Element x y z (fractional)
Rb (0.0000, 0.0000, 0.0000)
Ni (0.0000, 0.0000, 0.5000)
Ni (0.0000, 0.5000, 0.0000)
Ni (0.5000, 0.0000, 0.0000)
W (0.5000, 0.5000, 0.5000)

## Properties
total magnetic moment: 3.64 μB per formula unit
N(E_F): 6.16 states/eV/f.u.

x.
The following is a DFT calculation (PBE) of a relaxed structure of RbNi3W.

Unit cell a=4.7367 b=4.7367 c=4.7367 alpha=90.00 beta=90.00 gamma=90.00
Element x y z (fractional)
Rb (0.0000, 0.0000, 0.0000)
Ni (0.0000, 0.5000, 0.5000)
Ni (0.5000, 0.0000, 0.5000)
Ni (0.5000, 0.5000, 0.0000)
W (0.5000, 0.5000, 0.5000)

## Properties
total magnetic moment: 0.00 μB per formula unit
N(E_F): 6.78 states/eV/f.u.

Preferred: x; penalty for the next structure: 1522 meV/atom.

w.
The following is a DFT calculation (PBE) of a relaxed structure of Rb2YNi.

Unit cell a=9.6201 b=9.6201 c=9.6201 alpha=93.89 beta=93.89 gamma=149.81
Element x y z (fractional)
Rb (0.3750, 0.0282, 0.1532)
Rb (0.7782, 0.6250, 0.6532)
Rb (0.8750, 0.2218, 0.8468)
Rb (0.9718, 0.1250, 0.3468)
Y (0.2500, 0.7500, 0.5000)
Y (0.5000, 0.5000, 0.0000)
Ni (0.0000, 0.0000, 0.0000)
Ni (0.7500, 0.2500, 0.5000)

## Properties
total magnetic moment: 0.00 μB per formula unit
N(E_F): 4.62 states/eV/f.u.

x.
The following is a DFT calculation (PBE) of a relaxed structure of Rb2YNi.

Unit cell a=6.0434 b=6.0434 c=6.0434 alpha=60.00 beta=60.00 gamma=60.00
Element x y z (fractional)
Rb (0.2500, 0.2500, 0.2500)
Rb (0.7500, 0.7500, 0.7500)
Y (0.0000, 0.0000, 0.0000)
Ni (0.5000, 0.5000, 0.5000)

## Properties
total magnetic moment: 0.97 μB per formula unit
N(E_F): 5.50 states/eV/f.u.

Preferred: w; penalty for the next structure: 560 meV/atom.

w.
The following is a DFT calculation (PBE) of a relaxed structure of RbY2Ni.

Unit cell a=5.3024 b=5.3024 c=5.3024 alpha=60.00 beta=60.00 gamma=60.00
Element x y z (fractional)
Rb (0.0000, 0.0000, 0.0000)
Y (0.2500, 0.2500, 0.2500)
Y (0.7500, 0.7500, 0.7500)
Ni (0.5000, 0.5000, 0.5000)

## Properties
total magnetic moment: 0.00 μB per formula unit
N(E_F): 4.51 states/eV/f.u.

x.
The following is a DFT calculation (PBE) of a relaxed structure of RbY2Ni.

Unit cell a=8.2086 b=8.2086 c=8.2086 alpha=119.81 beta=119.81 gamma=90.32
Element x y z (fractional)
Rb (0.0000, 0.0000, 0.0000)
Rb (0.7500, 0.2500, 0.5000)
Y (0.3737, 0.1250, 0.7487)
Y (0.3750, 0.6263, 0.7513)
Y (0.3763, 0.6250, 0.2513)
Y (0.8750, 0.6237, 0.2487)
Ni (0.2500, 0.7500, 0.5000)
Ni (0.5000, 0.5000, 0.0000)

## Properties
total magnetic moment: 0.00 μB per formula unit
N(E_F): 3.43 states/eV/f.u.

Preferred: x; penalty for the next structure: 121 meV/atom.

w.
The following is a DFT calculation (PBE) of a relaxed structure of RbZn2Ni2.

Unit cell a=6.9953 b=6.9953 c=6.9953 alpha=144.71 beta=144.71 gamma=50.77
Element x y z (fractional)
Rb (0.0000, 0.0000, 0.0000)
Zn (0.3327, 0.3327, 0.0000)
Zn (0.6673, 0.6673, 0.0000)
Ni (0.2500, 0.7500, 0.5000)
Ni (0.7500, 0.2500, 0.5000)

## Properties
total magnetic moment: 0.00 μB per formula unit
N(E_F): 2.73 states/eV/f.u.

x.
The following is a DFT calculation (PBE) of a relaxed structure of RbZn2Ni2.

Unit cell a=7.7850 b=7.7850 c=2.7999 alpha=90.00 beta=90.00 gamma=90.00
Element x y z (fractional)
Rb (0.0000, 0.0000, 0.0000)
Rb (0.5000, 0.5000, 0.0000)
Zn (0.1512, 0.3488, 0.5000)
Zn (0.3488, 0.8488, 0.5000)
Zn (0.6512, 0.1512, 0.5000)
Zn (0.8488, 0.6512, 0.5000)
Ni (0.1269, 0.6269, 0.0000)
Ni (0.3731, 0.1269, 0.0000)
Ni (0.6269, 0.8731, 0.0000)
Ni (0.8731, 0.3731, 0.0000)

## Properties
total magnetic moment: 0.00 μB per formula unit
N(E_F): 1.92 states/eV/f.u.

y.
The following is a DFT calculation (PBE) of a relaxed structure of RbZn2Ni2.

Unit cell a=5.9660 b=5.9660 c=5.9660 alpha=137.42 beta=137.42 gamma=61.79
Element x y z (fractional)
Rb (0.0000, 0.0000, 0.0000)
Zn (0.2500, 0.7500, 0.5000)
Zn (0.7500, 0.2500, 0.5000)
Ni (0.3779, 0.3779, 0.0000)
Ni (0.6221, 0.6221, 0.0000)

## Properties
total magnetic moment: 0.00 μB per formula unit
N(E_F): 2.73 states/eV/f.u.

Preferred: w; penalty for the next structure: 22 meV/atom.